Crystalline TaGa2CN at its relaxed geometry. Source: Alexandria via LeMat-Bulk, functional PBE.

Unit cell a=4.050 b=4.050 c=4.219 alpha=90.00 beta=90.00 gamma=90.00
Space group P4/mmm (No. 123)
Unique sites:
Ta 0.000 0.000 0.000 (multiplicity 1)
Ga 0.000 0.500 0.500 (multiplicity 2)
C 0.500 0.500 0.000 (multiplicity 1)
N 0.000 0.000 0.500 (multiplicity 1)

Output
V, Å³ per cell: 69
Total moment, μB per formula unit: 0.000
Fermi-level density of states, states/eV/atom: 0.515
DFT total energy, eV per cell: -29.39